Computed, not measured: a relaxed BaHf2Se2 crystal at the PBE level of DFT.

The crystal system is tetragonal. The total magnetization is 0.0 μB/f.u. The calculation puts the total energy at -6.74 eV per atom.

The structure belongs to space group I4/mmm (No. 139); the cell edges are 4.104, 4.104 and 15.091 Å and the angles 90.00°, 90.00° and 90.00°. The asymmetric unit holds Ba at (0.000, 0.000, 0.000), Hf at (0.000, 0.500, 0.250) and Se at (0.000, 0.000, 0.380).